DFT (meta-GGA SCAN) results for a crystal of CaInTc2Pb relaxed with PBEsol.

Summary:
crystal system	tetragonal
total magnetization	3.804	μB per cell
calculated formation energy	1389.8	meV/atom
final energy	-182.0	eV for the cell shown

Cell lengths 5.081, 5.081, 5.398 Å; angles 90.00, 90.00, 90.00 degrees
Space group P4/mmm (No. 123)
Unique sites:
Ca1 0.000 0.000 0.000 x1
In1 0.500 0.500 0.000 x1
Tc1 0.000 0.500 0.500 x2
Pb1 0.500 0.500 0.500 x1